Here is a relaxed NaTlAs crystal from Alexandria via LeMat-Bulk. Energies are from PBE.

a b c (Å): 4.961 4.961 4.961
angles (deg): 60.00 60.00 60.00
Fractional coordinates of all 3 atoms:
Na  0.000  0.000  0.000
Tl  0.500  0.500  0.500
As  0.250  0.250  0.250

Summary:
SG: F-43m
Formation energy from the elements in eV/atom: -0.17
DOS at the Fermi energy in states/eV per atom: 0.4782
V in Å³ per atom: 28.786
Magnetic moment in μB/cell: 0.00